This record from Alexandria via LeMat-Bulk describes an optimized crystal structure of KRbS. The functional is PBE.

Uncorrected formation energy: -0.907 eV per atom
Uncorrected energy: -2.972 eV per atom

Structure (CIF):
```
data_KRbS
_chemical_formula_sum 'K1 Rb1 S1'
_cell_length_a 5.042
_cell_length_b 5.042
_cell_length_c 5.701
_cell_angle_alpha 90.00
_cell_angle_beta 90.00
_cell_angle_gamma 120.00
_space_group_name_H-M_alt 'P 1'
_space_group_IT_number 1
_space_group_name_Hall 'P 1'
loop_
_atom_site_label
_atom_site_fract_x
_atom_site_fract_y
_atom_site_fract_z
K1 0.000 0.000 0.000
Rb1 0.333 0.667 0.548
S1 0.667 0.333 0.812
```

This record from Alexandria via LeMat-Bulk describes an optimized crystal structure of K2Rb3S. The functional is PBE.

Uncorrected formation energy: -0.448 eV per atom
Uncorrected energy: -1.986 eV per atom

Structure (CIF):
```
data_K2Rb3S
_chemical_formula_sum 'K4 Rb6 S2'
_cell_length_a 9.267
_cell_length_b 9.267
_cell_length_c 9.376
_cell_angle_alpha 90.00
_cell_angle_beta 90.00
_cell_angle_gamma 69.52
_space_group_name_H-M_alt 'P 1'
_space_group_IT_number 1
_space_group_name_Hall 'P 1'
loop_
_atom_site_label
_atom_site_fract_x
_atom_site_fract_y
_atom_site_fract_z
K1 0.129 0.129 0.000
K2 0.129 0.129 0.500
K3 0.871 0.871 0.000
K4 0.871 0.871 0.500
Rb1 0.181 0.545 0.250
Rb2 0.269 0.731 0.750
Rb3 0.455 0.819 0.250
Rb4 0.545 0.181 0.750
Rb5 0.731 0.269 0.250
Rb6 0.819 0.455 0.750
S1 0.065 0.935 0.250
S2 0.935 0.065 0.750
```

This record from Alexandria via LeMat-Bulk describes an optimized crystal structure of KRbS2. The functional is PBE.

Uncorrected formation energy: -0.826 eV per atom
Uncorrected energy: -3.406 eV per atom
Polymorph energy (0 for the lowest one): 42 meV per atom

Structure (CIF):
```
data_KRbS2
_chemical_formula_sum 'K1 Rb1 S2'
_cell_length_a 4.278
_cell_length_b 4.278
_cell_length_c 6.492
_cell_angle_alpha 90.00
_cell_angle_beta 90.00
_cell_angle_gamma 90.00
_space_group_name_H-M_alt 'P 1'
_space_group_IT_number 1
_space_group_name_Hall 'P 1'
loop_
_atom_site_label
_atom_site_fract_x
_atom_site_fract_y
_atom_site_fract_z
K1 0.000 0.000 0.000
Rb1 0.000 0.000 0.500
S1 0.500 0.500 0.166
S2 0.500 0.500 0.834
```